# Li2Fe3SnO8

A relaxed Li2Fe3SnO8 crystal (PBE with a Hubbard U, Alexandria via LeMat-Bulk).

Unit cell a=6.0544 b=6.0544 c=6.0544 alpha=57.91 beta=57.91 gamma=57.91
Sites, in units of the cell vectors:
Li (0.1147, 0.1147, 0.1147)
Li (0.8853, 0.8853, 0.8853)
Fe (0.0000, 0.5000, 0.5000)
Fe (0.5000, 0.0000, 0.5000)
Fe (0.5000, 0.5000, 0.0000)
Sn (0.5000, 0.5000, 0.5000)
O (0.2546, 0.2546, 0.7130)
O (0.2546, 0.7130, 0.2546)
O (0.2703, 0.2703, 0.2703)
O (0.2870, 0.7454, 0.7454)
O (0.7130, 0.2546, 0.2546)
O (0.7297, 0.7297, 0.7297)
O (0.7454, 0.2870, 0.7454)
O (0.7454, 0.7454, 0.2870)

Properties
total magnetic moment = 4.00 μB per formula unit
energy above the most stable polymorph in this dataset = 262 meV per atom